No. 1
The following is a DFT calculation (PBE) of a relaxed TbHoNi crystal.

Cell: 13.605 3.887 5.680 Å, 90.00 100.72 90.00°
Space group C2/m (No. 12)
One atom of each set of equivalent atoms:
Tb: 0.153 0.000 0.315 [4 per cell]
Ho: 0.082 0.500 0.783 [4 per cell]
Ni: 0.231 0.000 0.863 [4 per cell]

Properties
As for the energy above the lowest structure with this stoichiometry: 0.0 kJ per mole of atoms. As for the density of states at the Fermi level: 13.4 states/eV per cell. Its crystal system is monoclinic. As for the energy of formation from the pure elements: -0.2907 eV/atom. Its volume is 24.60 A^3/atom.

***

No. 2
The following is a DFT calculation (PBE) of a relaxed NpCdAsO6 crystal.

Cell: 5.5408 5.5408 9.4970 Å, 90.00 90.00 120.00°
Space group P-31c (No. 163)
One atom of each set of equivalent atoms:
Np: 0.3333 0.6667 0.2500 [2 per cell]
Cd: 0.0000 0.0000 0.0000 [2 per cell]
As: 0.3333 0.6667 0.7500 [2 per cell]
O: 0.0065 0.3618 0.1386 [12 per cell]

Properties
Its crystal system is trigonal. Its volume is 14.03 A^3/atom. The value obtained for the total energy is -7.092 eV per atom.

***

No. 3
The following is a DFT calculation (PBE) of a relaxed FeIrPbCl2 crystal.

Cell: 4.738 4.738 5.564 Å, 90.00 90.00 90.00°
Space group P4/mmm (No. 123)
One atom of each set of equivalent atoms:
Fe: 0.000 0.000 0.000 [1 per cell]
Ir: 0.500 0.500 0.500 [1 per cell]
Pb: 0.500 0.500 0.000 [1 per cell]
Cl: 0.000 0.500 0.500 [2 per cell]

Properties
As for the density of states at the Fermi level: 4.9 states/eV per cell. Its crystal system is tetragonal. Its volume is 24.98 A^3/atom. The value obtained for the total energy is -4.260 eV per atom.

***

No. 4
The following is a DFT calculation (PBE) of a relaxed As2RuBr crystal.

Cell: 3.126 5.349 9.492 Å, 90.00 90.00 90.00°
Space group Cmm2 (No. 35)
One atom of each set of equivalent atoms:
As: 0.000 0.000 0.000 [2 per cell]
As: 0.000 0.500 0.256 [2 per cell]
Ru: 0.000 0.500 0.807 [2 per cell]
Br: 0.000 0.000 0.581 [2 per cell]

Properties
As for the energy above the lowest structure with this stoichiometry: 55.8 kJ per mole of atoms. As for the density of states at the Fermi level: 8.3 states/eV per cell. Its crystal system is orthorhombic. Its volume is 19.84 A^3/atom.

***

No. 5
The following is a DFT calculation (PBE) of a relaxed Ag5HgAu4 crystal.

Cell: 8.617 9.507 4.993 Å, 90.00 90.00 90.00°
Space group Pmmn (No. 59, origin choice 2)
One atom of each set of equivalent atoms:
Ag: 0.082 0.001 0.250 [8 per cell]
Ag: 0.250 0.750 0.088 [2 per cell]
Hg: 0.250 0.250 0.048 [2 per cell]
Au: 0.072 0.750 0.580 [4 per cell]
Au: 0.250 0.505 0.749 [4 per cell]

Properties
As for the energy above the lowest structure with this stoichiometry: 8.9 kJ per mole of atoms. As for the density of states at the Fermi level: 4.7 states/eV per cell. Its crystal system is orthorhombic. As for the energy of formation from the pure elements: 0.0789 eV/atom. Its volume is 20.45 A^3/atom.

***

No. 6
The following is a DFT calculation (PBE) of a relaxed Li2MnGeBr6 crystal.

Cell: 6.8779 6.8779 18.9504 Å, 90.00 90.00 120.00°
Space group R3 (No. 146, hexagonal axes)
One atom of each set of equivalent atoms:
Li: 0.0000 0.0000 0.0000 [3 per cell]
Li: 0.0000 0.0000 0.4977 [3 per cell]
Mn: 0.0000 0.0000 0.6868 [3 per cell]
Ge: 0.0000 0.0000 0.1877 [3 per cell]
Br: 0.0061 0.6946 0.5955 [9 per cell]
Br: 0.0136 0.3405 0.7582 [9 per cell]

Properties
As for the density of states at the Fermi level: 0.0 states/eV per cell. Its crystal system is trigonal. Its volume is 25.88 A^3/atom. The value obtained for the total energy is -3.747 eV per atom.

***

> Which of these has the highest volume?

Li2MnGeBr6

***

> The highest volume belongs to which entry?

Li2MnGeBr6